Record 1
A geometry-optimized PrHoZnOs structure, computed with GGA-PBE.

As for the total DFT energy (no corrections): -5.63 eV per atom. The calculation puts the total magnetization at 0.00 μB/f.u. The value obtained for the formation energy from the elements is -62 kJ/mol of formula units.

The structure belongs to space group F-43m (No. 216); the cell edges are 7.079, 7.079 and 7.079 Å and the angles 90.00°, 90.00° and 90.00°. The inequivalent atoms are Pr at (0.000, 0.000, 0.000), Ho at (0.000, 0.000, 0.500), Zn at (0.250, 0.250, 0.250) and Os at (0.250, 0.250, 0.750).



Record 2
A geometry-optimized Ho5Os2Pt structure, computed with GGA-PBE.

As for the total DFT energy (no corrections): -6.95 eV per atom. The calculation puts the total magnetization at 0.00 μB/f.u. The value obtained for the formation energy from the elements is -406 kJ/mol of formula units.

The structure belongs to space group I4/mcm (No. 140); the cell edges are 7.404, 7.404 and 13.897 Å and the angles 90.00°, 90.00° and 90.00°. The inequivalent atoms are Ho at (0.000, 0.000, 0.000), Ho at (0.176, 0.324, 0.140), Os at (0.121, 0.379, 0.500) and Pt at (0.000, 0.000, 0.250).



Record 3
A geometry-optimized Ho8OsPt2 structure, computed with GGA-PBE.

As for the total DFT energy (no corrections): -5.94 eV per atom. The calculation puts the total magnetization at 0.00 μB/f.u. The value obtained for the formation energy from the elements is -518 kJ/mol of formula units.

The structure belongs to space group Cm (No. 8); the cell edges are 8.380, 12.616 and 5.915 Å and the angles 90.00°, 109.53° and 90.00°. The inequivalent atoms are Ho at (0.000, 0.000, 0.000), Ho at (0.059, 0.373, 0.765), Ho at (0.150, 0.127, 0.568), Ho at (0.206, 0.500, 0.355), Ho at (0.351, 0.212, 0.178), Os at (0.351, 0.000, 0.340) and Pt at (0.357, 0.313, 0.678).



Record 4
A geometry-optimized Ho8Os2Pt structure, computed with GGA-PBE.

As for the total DFT energy (no corrections): -6.27 eV per atom. The calculation puts the total magnetization at 0.00 μB/f.u. The value obtained for the formation energy from the elements is -372 kJ/mol of formula units.

The structure belongs to space group Cm (No. 8); the cell edges are 8.501, 12.447 and 5.775 Å and the angles 90.00°, 107.78° and 90.00°. The inequivalent atoms are Ho at (0.000, 0.000, 0.000), Ho at (0.074, 0.368, 0.788), Ho at (0.164, 0.132, 0.593), Ho at (0.232, 0.500, 0.389), Ho at (0.366, 0.220, 0.195), Os at (0.370, 0.312, 0.695) and Pt at (0.364, 0.000, 0.340).



Record 5
A geometry-optimized Ho6OsPt3 structure, computed with GGA-PBE.

As for the total DFT energy (no corrections): -6.44 eV per atom. The calculation puts the total magnetization at 0.00 μB/f.u. The value obtained for the formation energy from the elements is -736 kJ/mol of formula units.

The structure belongs to space group Pnnm (No. 58); the cell edges are 8.214, 11.958 and 4.832 Å and the angles 90.00°, 90.00° and 90.00°. The inequivalent atoms are Ho at (0.000, 0.246, 0.000), Ho at (0.152, 0.410, 0.500), Ho at (0.176, 0.076, 0.500), Os at (0.000, 0.500, 0.000), Pt at (0.000, 0.000, 0.000) and Pt at (0.167, 0.829, 0.500).



Record 6
A geometry-optimized Ho2OsPt structure, computed with GGA-PBE.

As for the total DFT energy (no corrections): -7.34 eV per atom. The calculation puts the total magnetization at 0.00 μB/f.u. The value obtained for the formation energy from the elements is -285 kJ/mol of formula units.

The structure belongs to space group P4/mmm (No. 123); the cell edges are 3.457, 3.457 and 6.741 Å and the angles 90.00°, 90.00° and 90.00°. The inequivalent atoms are Ho at (0.000, 0.000, 0.244), Os at (0.500, 0.500, 0.000) and Pt at (0.500, 0.500, 0.500).



Record 7
A geometry-optimized Ho2OsPt structure, computed with GGA-PBE.

As for the total DFT energy (no corrections): -7.29 eV per atom. The calculation puts the total magnetization at 0.00 μB/f.u. The value obtained for the formation energy from the elements is -266 kJ/mol of formula units.

The structure belongs to space group Fm-3m (No. 225); the cell edges are 6.856, 6.856 and 6.856 Å and the angles 90.00°, 90.00° and 90.00°. The inequivalent atoms are Ho at (0.250, 0.250, 0.250), Os at (0.000, 0.000, 0.000) and Pt at (0.000, 0.000, 0.500).



Record 8
A geometry-optimized Ho8OsPt2 structure, computed with GGA-PBE.

As for the total DFT energy (no corrections): -6.03 eV per atom. The calculation puts the total magnetization at 0.00 μB/f.u. The value obtained for the formation energy from the elements is -614 kJ/mol of formula units.

The structure belongs to space group C2/m (No. 12); the cell edges are 17.126, 4.983 and 6.789 Å and the angles 90.00°, 107.02° and 90.00°. The inequivalent atoms are Ho at (0.031, 0.000, 0.294), Ho at (0.093, 0.500, 0.941), Ho at (0.165, 0.500, 0.464), Ho at (0.202, 0.000, 0.808), Os at (0.000, 0.500, 0.500) and Pt at (0.187, 0.000, 0.206).



Record 9
A geometry-optimized HoPuOsPt structure, computed with GGA-PBE.

As for the total DFT energy (no corrections): -9.51 eV per atom. The calculation puts the total magnetization at 4.63 μB/f.u. The value obtained for the formation energy from the elements is -178 kJ/mol of formula units.

The structure belongs to space group F-43m (No. 216); the cell edges are 6.876, 6.876 and 6.876 Å and the angles 90.00°, 90.00° and 90.00°. The inequivalent atoms are Ho at (0.000, 0.000, 0.000), Pu at (0.000, 0.000, 0.500), Os at (0.250, 0.250, 0.250) and Pt at (0.250, 0.250, 0.750).



Record 10
A geometry-optimized Ho2Si4OsPt3 structure, computed with GGA-PBE.

As for the total DFT energy (no corrections): -7.05 eV per atom. For the formation energy (no corrections), the calculation gives -1026.2 meV/atom. The calculation puts the total magnetization at 0.00 μB/f.u.

The structure belongs to space group P-4m2 (No. 115); the cell edges are 4.133, 4.133 and 9.973 Å and the angles 90.00°, 90.00° and 90.00°. The inequivalent atoms are Ho at (0.000, 0.500, 0.248), Si at (0.000, 0.000, 0.000), Si at (0.000, 0.500, 0.631), Si at (0.500, 0.500, 0.000), Os at (0.000, 0.000, 0.500), Pt at (0.000, 0.500, 0.871) and Pt at (0.500, 0.500, 0.500).



Record 11
A geometry-optimized SmHoOsPt structure, computed with GGA-PBE.

As for the total DFT energy (no corrections): -7.23 eV per atom. The calculation puts the total magnetization at 0.00 μB/f.u. The value obtained for the formation energy from the elements is -226 kJ/mol of formula units.

The structure belongs to space group F-43m (No. 216); the cell edges are 6.949, 6.949 and 6.949 Å and the angles 90.00°, 90.00° and 90.00°. The inequivalent atoms are Sm at (0.000, 0.000, 0.000), Ho at (0.000, 0.000, 0.500), Os at (0.250, 0.250, 0.750) and Pt at (0.250, 0.250, 0.250).



Record 12
A geometry-optimized TbHoOsPt structure, computed with GGA-PBE.

As for the total DFT energy (no corrections): -7.28 eV per atom. The calculation puts the total magnetization at 0.00 μB/f.u. The value obtained for the formation energy from the elements is -254 kJ/mol of formula units.

The structure belongs to space group F-43m (No. 216); the cell edges are 6.888, 6.888 and 6.888 Å and the angles 90.00°, 90.00° and 90.00°. The inequivalent atoms are Tb at (0.000, 0.000, 0.000), Ho at (0.000, 0.000, 0.500), Os at (0.250, 0.250, 0.750) and Pt at (0.250, 0.250, 0.250).



Record 13
A geometry-optimized HoTmOsPt structure, computed with GGA-PBE.

As for the total DFT energy (no corrections): -7.30 eV per atom. The calculation puts the total magnetization at 0.00 μB/f.u. The value obtained for the formation energy from the elements is -277 kJ/mol of formula units.

The structure belongs to space group F-43m (No. 216); the cell edges are 6.825, 6.825 and 6.825 Å and the angles 90.00°, 90.00° and 90.00°. The inequivalent atoms are Ho at (0.000, 0.000, 0.000), Tm at (0.000, 0.000, 0.500), Os at (0.250, 0.250, 0.250) and Pt at (0.250, 0.250, 0.750).